This record from Alexandria describes a relaxed Na3Ho3BiO8 crystal. The functional is PBE.

Summary:
**Mass density**: 6.5 g/cm³
**DOS at the Fermi energy**: 0.10 states/eV/atom
**Formation energy (no corrections)**: -2.43 eV per atom
**Space group**: R-3m (166)
**Electronic total energy**: -0.4789 Ry per atom
**Total moment**: 0.00 Bohr magnetons per cell

The structure in extended XYZ format:
```
15
Lattice="3.426 1.978 5.632 -3.426 1.978 5.632 0.000 -3.956 5.632" Properties=species:S:1:pos:R:3 pbc="T T T"
Na -1.713 -0.989 5.632
Na -1.713 0.989 11.265
Na 0.000 1.978 5.632
Ho -3.426 0.000 8.449
Ho -1.713 0.989 2.816
Ho 1.713 0.989 2.816
Bi 0.000 0.000 8.449
O 0.000 0.000 3.966
O -1.687 -0.974 9.608
O 0.000 -1.948 7.289
O -1.687 0.974 7.289
O 1.687 -0.974 9.608
O 0.000 1.948 9.608
O 1.687 0.974 7.289
O 0.000 0.000 12.931
```

This record from Alexandria describes a relaxed La4HIr2 crystal. The functional is PBE.

Summary:
**Mass density**: 8.8 g/cm³
**DOS at the Fermi energy**: 0.67 states/eV/atom
**Space group**: I4/mmm (139)
**Electronic total energy**: -0.4663 Ry per atom
**E above lowest polymorph**: 97 meV per atom
**Total moment**: 0.00 Bohr magnetons per cell

The structure in extended XYZ format:
```
14
Lattice="4.896 0.000 0.000 0.000 4.896 0.000 0.000 0.000 14.738" Properties=species:S:1:pos:R:3 pbc="T T T"
La 0.000 0.000 2.865
La 0.000 0.000 11.873
La 0.000 2.448 0.000
La 0.000 2.448 7.369
La 2.448 0.000 0.000
La 2.448 0.000 7.369
La 2.448 2.448 4.504
La 2.448 2.448 10.234
H 0.000 0.000 0.000
H 2.448 2.448 7.369
Ir 0.000 0.000 5.494
Ir 0.000 0.000 9.244
Ir 2.448 2.448 1.875
Ir 2.448 2.448 12.863
```

This record from Alexandria describes a relaxed AcYTm crystal. The functional is PBE.

Summary:
**Mass density**: 7.6 g/cm³
**DOS at the Fermi energy**: 1.71 states/eV/atom
**Space group**: Cmcm (63)
**Electronic total energy**: -0.3633 Ry per atom
**E above lowest polymorph**: 4 meV per atom
**Total moment**: 0.00 Bohr magnetons per cell

The structure in extended XYZ format:
```
12
Lattice="5.269 0.000 0.000 0.000 15.311 0.000 0.000 0.000 5.282" Properties=species:S:1:pos:R:3 pbc="T T T"
Ac 0.000 3.822 1.321
Ac 0.000 11.489 3.962
Ac 2.634 3.834 3.962
Ac 2.634 11.478 1.321
Y 0.000 1.185 3.962
Y 0.000 14.126 1.321
Y 2.634 6.470 1.321
Y 2.634 8.841 3.962
Tm 0.000 6.479 3.962
Tm 0.000 8.833 1.321
Tm 2.634 1.177 1.321
Tm 2.634 14.134 3.962
```

This record from Alexandria describes a relaxed Ba2TeRuO6 crystal. The functional is PBE.

Summary:
**Mass density**: 6.4 g/cm³
**DOS at the Fermi energy**: 0.44 states/eV/atom
**Formation energy (no corrections)**: -1.68 eV per atom
**Space group**: R-3m (166)
**Electronic total energy**: -0.4617 Ry per atom
**Total moment**: 2.04 Bohr magnetons per cell

The structure in extended XYZ format:
```
20
Lattice="2.962 1.710 10.307 -2.962 1.710 10.307 0.000 -3.421 10.307" Properties=species:S:1:pos:R:3 pbc="T T T"
Ba 0.000 0.000 3.668
Ba 0.000 0.000 9.032
Ba 0.000 0.000 21.891
Ba 0.000 0.000 27.255
Te 0.000 0.000 0.000
Te 0.000 0.000 15.461
Ru 0.000 0.000 12.697
Ru 0.000 0.000 18.226
O -1.332 -0.769 14.175
O 0.000 -1.695 11.559
O -1.468 0.847 11.559
O -1.468 -0.847 19.364
O 0.000 -1.538 16.748
O -1.332 0.769 16.748
O 1.332 -0.769 14.175
O 0.000 1.538 14.175
O 1.468 0.847 11.559
O 1.468 -0.847 19.364
O 0.000 1.695 19.364
O 1.332 0.769 16.748
```

This record from Alexandria describes a relaxed Be2PPb crystal. The functional is PBE.

Summary:
**Mass density**: 5.5 g/cm³
**DOS at the Fermi energy**: 0.12 states/eV/atom
**Space group**: I-42d (122)
**Electronic total energy**: -0.2870 Ry per atom
**E above lowest polymorph**: 93 meV per atom
**Total moment**: 0.00 Bohr magnetons per cell

The structure in extended XYZ format:
```
16
Lattice="5.903 0.000 0.000 0.000 5.903 0.000 0.000 0.000 8.955" Properties=species:S:1:pos:R:3 pbc="T T T"
Be 0.958 1.476 1.119
Be 1.476 3.910 3.358
Be 1.476 4.944 7.835
Be 1.993 1.476 5.597
Be 3.910 4.427 5.597
Be 4.427 0.958 7.835
Be 4.427 1.993 3.358
Be 4.944 4.427 1.119
P 0.000 0.000 0.000
P 0.000 2.951 2.239
P 2.951 0.000 6.716
P 2.951 2.951 4.477
Pb 0.000 0.000 4.477
Pb 0.000 2.951 6.716
Pb 2.951 0.000 2.239
Pb 2.951 2.951 0.000
```

This record from Alexandria describes a relaxed HgClO crystal. The functional is PBE.

Summary:
**Mass density**: 6.4 g/cm³
**DOS at the Fermi energy**: 0.36 states/eV/atom
**Formation energy (no corrections)**: 0.03 eV per atom
**Space group**: P2_1/c (14)
**Electronic total energy**: -0.1719 Ry per atom
**Total moment**: 4.04 Bohr magnetons per cell

The structure in extended XYZ format:
```
12
Lattice="5.707 0.000 0.000 0.000 5.719 0.000 -0.051 0.000 8.075" Properties=species:S:1:pos:R:3 pbc="T T T"
Hg 1.098 0.740 1.173
Hg 1.073 2.119 5.210
Hg 4.583 3.599 2.865
Hg 4.557 4.978 6.902
Cl 2.266 4.156 7.180
Cl 2.291 4.422 3.142
Cl 3.364 1.297 4.933
Cl 3.390 1.563 0.895
O 0.595 0.495 6.837
O 0.621 2.364 2.799
O 5.035 3.355 5.275
O 5.061 5.223 1.238
```

This record from Alexandria describes a relaxed Ti3PbC crystal. The functional is PBE.

Summary:
**Mass density**: 6.6 g/cm³
**DOS at the Fermi energy**: 0.93 states/eV/atom
**Space group**: C2/m (12)
**Electronic total energy**: -0.5458 Ry per atom
**Total moment**: 0.00 Bohr magnetons per cell

The structure in extended XYZ format:
```
10
Lattice="7.647 -1.622 0.000 7.647 1.622 0.000 -1.289 0.000 7.341" Properties=species:S:1:pos:R:3 pbc="T T T"
Ti 1.589 0.000 0.792
Ti 4.259 0.000 1.043
Ti 4.371 0.000 3.952
Ti 9.635 0.000 3.389
Ti 9.746 0.000 6.297
Ti 12.416 0.000 6.549
Pb 6.926 0.000 1.934
Pb 7.079 0.000 5.407
C 2.815 0.000 2.487
C 11.191 0.000 4.854
```

This record from Alexandria describes a relaxed K5CeO4 crystal. The functional is PBE.

Summary:
**Mass density**: 2.5 g/cm³
**DOS at the Fermi energy**: 0.15 states/eV/atom
**Formation energy (no corrections)**: -1.75 eV per atom
**Space group**: C2/m (12)
**Electronic total energy**: -0.3581 Ry per atom
**Total moment**: 0.00 Bohr magnetons per cell

The structure in extended XYZ format:
```
10
Lattice="9.423 -1.863 0.000 9.423 1.863 0.000 -0.646 0.000 7.522" Properties=species:S:1:pos:R:3 pbc="T T T"
K 0.000 0.000 0.000
K 6.233 0.000 5.167
K 6.555 0.000 1.826
K 11.645 0.000 5.696
K 11.966 0.000 2.356
Ce -0.323 0.000 3.761
O 1.835 0.000 3.964
O 8.949 0.000 5.320
O 9.250 0.000 2.203
O 16.364 0.000 3.558
```

This record from Alexandria describes a relaxed Mo2RuRh crystal. The functional is PBE.

Summary:
**Mass density**: 10.8 g/cm³
**DOS at the Fermi energy**: 1.15 states/eV/atom
**Space group**: P4mm (99)
**Electronic total energy**: -0.6944 Ry per atom
**E above lowest polymorph**: 207 meV per atom
**Total moment**: 0.00 Bohr magnetons per cell

The structure in extended XYZ format:
```
4
Lattice="3.242 0.000 0.000 0.000 3.242 0.000 0.000 0.000 5.803" Properties=species:S:1:pos:R:3 pbc="T T T"
Mo 0.000 0.000 0.000
Mo 1.621 1.621 1.634
Ru 1.621 1.621 4.547
Rh 0.000 0.000 2.887
```

This record from Alexandria describes a relaxed NpRhAu4 crystal. The functional is PBE.

Summary:
**Mass density**: 16.0 g/cm³
**DOS at the Fermi energy**: 2.58 states/eV/atom
**Space group**: F-43m (216)
**Electronic total energy**: -0.4083 Ry per atom
**Total moment**: 3.81 Bohr magnetons per cell

The structure in extended XYZ format:
```
6
Lattice="0.000 3.884 3.884 3.884 0.000 3.884 3.884 3.884 0.000" Properties=species:S:1:pos:R:3 pbc="T T T"
Np 0.000 0.000 0.000
Rh 5.826 5.826 5.826
Au 2.916 2.916 2.916
Au 4.852 4.852 2.916
Au 4.852 2.916 4.852
Au 2.916 4.852 4.852
```

This record from Alexandria describes a relaxed Sm2Ho5Bi4 crystal. The functional is PBE.

Summary:
**Mass density**: 9.4 g/cm³
**DOS at the Fermi energy**: 0.88 states/eV/atom
**Space group**: C2/m (12)
**Electronic total energy**: -0.3582 Ry per atom
**Total moment**: 0.00 Bohr magnetons per cell

The structure in extended XYZ format:
```
11
Lattice="9.567 -2.237 0.000 9.567 2.237 0.000 -0.854 0.000 8.123" Properties=species:S:1:pos:R:3 pbc="T T T"
Sm 2.944 0.000 2.743
Sm 15.335 0.000 5.380
Ho 3.300 0.000 7.020
Ho 7.023 0.000 8.005
Ho 9.140 0.000 4.061
Ho 11.256 0.000 0.117
Ho 14.979 0.000 1.102
Bi -0.175 0.000 1.796
Bi 6.153 0.000 3.137
Bi 12.126 0.000 4.985
Bi 18.455 0.000 6.327
```

This record from Alexandria describes a relaxed FeSiTc2 crystal. The functional is PBE.

Summary:
**Mass density**: 8.8 g/cm³
**DOS at the Fermi energy**: 0.87 states/eV/atom
**Formation energy (no corrections)**: -0.05 eV per atom
**Space group**: R3m (160)
**Electronic total energy**: -0.6396 Ry per atom
**Total moment**: 4.17 Bohr magnetons per cell

The structure in extended XYZ format:
```
12
Lattice="2.733 0.000 0.000 -1.366 2.367 0.000 0.000 0.000 24.553" Properties=species:S:1:pos:R:3 pbc="T T T"
Fe 0.000 0.000 0.000
Fe 0.000 1.578 16.368
Fe 1.366 0.789 8.184
Si 0.000 0.000 18.194
Si 0.000 1.578 10.010
Si 1.366 0.789 1.826
Tc 0.000 0.000 6.088
Tc 0.000 0.000 12.094
Tc 0.000 1.578 3.910
Tc 0.000 1.578 22.457
Tc 1.366 0.789 14.273
Tc 1.366 0.789 20.278
```

Question: What is the mass density in the seventh record?
Answer: 6.6 g/cm³

Question: Which value of total moment does entry 9 give?
Answer: 0.00 Bohr magnetons per cell

Question: electronic total energy of number 1 (Na3Ho3BiO8)?
Answer: -0.4789 Ry per atom

What did the fifth record say?
This record from Alexandria describes a relaxed Be2PPb crystal. The functional is PBE.

Summary:
**Mass density**: 5.5 g/cm³
**DOS at the Fermi energy**: 0.12 states/eV/atom
**Space group**: I-42d (122)
**Electronic total energy**: -0.2870 Ry per atom
**E above lowest polymorph**: 93 meV per atom
**Total moment**: 0.00 Bohr magnetons per cell

The structure in extended XYZ format:
```
16
Lattice="5.903 0.000 0.000 0.000 5.903 0.000 0.000 0.000 8.955" Properties=species:S:1:pos:R:3 pbc="T T T"
Be 0.958 1.476 1.119
Be 1.476 3.910 3.358
Be 1.476 4.944 7.835
Be 1.993 1.476 5.597
Be 3.910 4.427 5.597
Be 4.427 0.958 7.835
Be 4.427 1.993 3.358
Be 4.944 4.427 1.119
P 0.000 0.000 0.000
P 0.000 2.951 2.239
P 2.951 0.000 6.716
P 2.951 2.951 4.477
Pb 0.000 0.000 4.477
Pb 0.000 2.951 6.716
Pb 2.951 0.000 2.239
Pb 2.951 2.951 0.000
```